# 1
An optimized crystal structure of TlIrPb2, computed with PBE-GGA.

Its distance to the lowest polymorph of the same formula is 84.2 meV per atom. Its crystal system is monoclinic.

It has space group Pm (No. 6), with a = 4.5682 Å, b = 3.3274 Å, c = 7.3659 Å, α = 90.00°, β = 107.94° and γ = 90.00°. The inequivalent atoms are Tl at (0.0000, 0.0000, 0.0000), Ir at (0.8220, 0.5000, 0.6434), Pb at (0.3130, 0.0000, 0.6251) and Pb at (0.6239, 0.5000, 0.2493).


# 2
An optimized crystal structure of Pm2Ga4CoIr3, computed with PBE-GGA.

The calculation puts the total energy at -6.1609 eV per atom. Its crystal system is tetragonal.

It has space group P-4m2 (No. 115), with a = 4.2286 Å, b = 4.2286 Å, c = 10.2774 Å, α = 90.00°, β = 90.00° and γ = 90.00°. The inequivalent atoms are Pm at (0.0000, 0.5000, 0.2373), Ga at (0.0000, 0.0000, 0.5000), Ga at (0.0000, 0.5000, 0.8792), Ga at (0.5000, 0.5000, 0.5000), Co at (0.5000, 0.5000, 0.0000), Ir at (0.0000, 0.0000, 0.0000) and Ir at (0.0000, 0.5000, 0.6360).


# 3
An optimized crystal structure of Tm5Cd4Ag, computed with PBE-GGA.

The calculation puts the total energy at -3.2015 eV per atom. Its crystal system is tetragonal.

It has space group P4/mmm (No. 123), with a = 3.6738 Å, b = 3.6738 Å, c = 18.3714 Å, α = 90.00°, β = 90.00° and γ = 90.00°. The inequivalent atoms are Tm at (0.0000, 0.0000, 0.0000), Tm at (0.0000, 0.0000, 0.2029), Tm at (0.0000, 0.0000, 0.4053), Cd at (0.5000, 0.5000, 0.1015), Cd at (0.5000, 0.5000, 0.3024) and Ag at (0.5000, 0.5000, 0.5000).


Number 1: density of states at the Fermi level 2.4 states/eV/f.u., total moment 0.00 μB/f.u., calculated volume 26.63 A^3/atom. Number 2: density of states at the Fermi level 5.8 states/eV/f.u., total moment 0.00 μB/f.u., calculated volume 18.38 A^3/atom. Number 3: density of states at the Fermi level 8.2 states/eV/f.u., total moment 0.00 μB/f.u., calculated volume 24.79 A^3/atom.